Here is a relaxed Nd5Sn3 crystal from the Alexandria database. Energies are from PBE-GGA.

a = 12.565 Å, b = 12.565 Å, c = 6.243 Å
α = 90.00°, β = 90.00°, γ = 90.00°
Space group I4/mcm (No. 140)
Symmetry-distinct sites (fractional):
Nd: 0.000 0.500 0.250 [4 per cell]
Nd: 0.083 0.218 0.000 [16 per cell]
Sn: 0.000 0.000 0.250 [4 per cell]
Sn: 0.161 0.339 0.500 [8 per cell]

## Properties
The size of the total moment comes out at 1.77 μB/f.u. The energy above the most stable polymorph in this dataset comes out at 0.08 eV/f.u. As for the mass density: 7259 kg/m³. As for the uncorrected energy: -5.16 eV per atom. The energy of formation is -681 meV/atom.